Record 1
Here is a relaxed structure of Tb2ScZn6 from Alexandria. Energies are from GGA-PBE.

Lattice parameters (Å, degrees): 3.407 7.712 7.712 120.00 90.00 90.00
Positions (direct):
1 Tb 0.000 0.333 0.667
2 Tb 0.000 0.667 0.333
3 Sc 0.000 0.000 0.000
4 Zn 0.500 0.327 0.327
5 Zn 0.500 0.673 0.673
6 Zn 0.500 0.000 0.673
7 Zn 0.500 0.673 0.000
8 Zn 0.500 0.327 0.000
9 Zn 0.500 0.000 0.327

Output
Its formation energy is -0.36 eV/atom. Its crystal system is hexagonal.

Record 2
Here is a relaxed structure of Tb2ScZn5 from Alexandria. Energies are from GGA-PBE.

Lattice parameters (Å, degrees): 4.723 4.723 7.754 107.73 107.73 90.00
Positions (direct):
1 Tb 0.735 0.735 0.470
2 Tb 0.265 0.265 0.530
3 Sc 0.000 0.000 0.000
4 Zn 0.500 0.500 0.000
5 Zn 0.892 0.392 0.784
6 Zn 0.392 0.892 0.784
7 Zn 0.108 0.608 0.216
8 Zn 0.608 0.108 0.216

Output
Its formation energy is -0.30 eV/atom. Its crystal system is tetragonal.

Record 3
Here is a relaxed structure of TbScZn4 from Alexandria. Energies are from GGA-PBE.

Lattice parameters (Å, degrees): 3.583 3.886 9.418 89.91 90.21 90.10
Positions (direct):
1 Tb 0.502 0.498 0.998
2 Sc 0.001 0.998 0.498
3 Zn 0.500 0.997 0.254
4 Zn 0.502 0.997 0.742
5 Zn 0.001 0.497 0.730
6 Zn 0.002 0.498 0.266

Output
The polymorph energy (0 for the lowest one) is 417.4 meV per atom. Its formation energy is 0.06 eV/atom. Its crystal system is triclinic.

Size of the total moment per entry: 0.00, 0.00, 0.00 μB/atom
Total DFT energy (no corrections) per entry: -2.941, -3.048, -2.620 eV per atom